First-principles (PBE-GGA) data for crystalline Cr2Cu at its relaxed geometry, as listed in the Alexandria database.

Values from the calculation:
- ρ: 7.76 g/cm3
- ΔH_f (0 K): 0.42 eV per atom
- Spin magnetization: 0.00 μB per formula unit

Lattice parameters (Å, degrees): 2.377 2.377 25.387 90.00 90.00 90.00
Space group I4_1/amd (No. 141, origin choice 2)
Symmetry-distinct sites (fractional):
Cr: 0.000 0.250 0.294
Cu: 0.000 0.250 0.875